a | Entry from Alexandria via LeMat-Bulk: crystalline Ru2WCl at its relaxed geometry (PBE).

Calculated values
For the calculated volume, the calculation gives 123.79 Å³ per cell. The crystal system is monoclinic.

```
data_Ru2WCl
_chemical_formula_sum 'Ru4 W2 Cl2'
_cell_length_a 9.931
_cell_length_b 2.900
_cell_length_c 4.299
_cell_angle_alpha 90.00
_cell_angle_beta 90.72
_cell_angle_gamma 90.00
_symmetry_space_group_name_H-M 'C 1 m 1'
_symmetry_Int_Tables_number 8
_symmetry_space_group_name_Hall 'C -2y'
loop_
_atom_site_label
_atom_site_type_symbol
_atom_site_fract_x
_atom_site_fract_y
_atom_site_fract_z
Ru1 Ru 0.000 0.000 0.000
Ru2 Ru 0.228 0.500 0.195
W1 W 0.302 0.000 0.737
Cl1 Cl 0.015 0.500 0.459
```

=====

b | Entry from Alexandria via LeMat-Bulk: crystalline Ru2WCl at its relaxed geometry (PBE).

Calculated values
For the calculated volume, the calculation gives 58.81 Å³ per cell. The crystal system is monoclinic.

```
data_Ru2WCl
_chemical_formula_sum 'Ru2 W1 Cl1'
_cell_length_a 2.875
_cell_length_b 3.994
_cell_length_c 5.290
_cell_angle_alpha 90.00
_cell_angle_beta 104.45
_cell_angle_gamma 90.00
_symmetry_space_group_name_H-M 'P 1 2/m 1'
_symmetry_Int_Tables_number 10
_symmetry_space_group_name_Hall '-P 2y'
loop_
_atom_site_label
_atom_site_type_symbol
_atom_site_fract_x
_atom_site_fract_y
_atom_site_fract_z
Ru1 Ru 0.132 0.000 0.256
W1 W 0.500 0.500 0.000
Cl1 Cl 0.500 0.500 0.500
```

=====

In terms of stability, b leads; the second structure lies 5.5 kJ/mol of atoms higher.

=====

a | Entry from Alexandria via LeMat-Bulk: crystalline Ru2WCl at its relaxed geometry (PBE).

Calculated values
For the calculated volume, the calculation gives 59.25 Å³ per cell. The crystal system is orthorhombic.

```
data_Ru2WCl
_chemical_formula_sum 'Ru2 W1 Cl1'
_cell_length_a 2.845
_cell_length_b 4.474
_cell_length_c 4.655
_cell_angle_alpha 90.00
_cell_angle_beta 90.00
_cell_angle_gamma 90.00
_symmetry_space_group_name_H-M 'P m m m'
_symmetry_Int_Tables_number 47
_symmetry_space_group_name_Hall '-P 2 2'
loop_
_atom_site_label
_atom_site_type_symbol
_atom_site_fract_x
_atom_site_fract_y
_atom_site_fract_z
Ru1 Ru 0.000 0.000 0.000
Ru2 Ru 0.500 0.000 0.500
W1 W 0.000 0.500 0.500
Cl1 Cl 0.500 0.500 0.000
```

=====

b | Entry from Alexandria via LeMat-Bulk: crystalline Ru2WCl at its relaxed geometry (PBE).

Calculated values
For the calculated volume, the calculation gives 124.51 Å³ per cell. The crystal system is orthorhombic.

```
data_Ru2WCl
_chemical_formula_sum 'Ru4 W2 Cl2'
_cell_length_a 2.828
_cell_length_b 4.943
_cell_length_c 8.909
_cell_angle_alpha 90.00
_cell_angle_beta 90.00
_cell_angle_gamma 90.00
_symmetry_space_group_name_H-M 'C m m 2'
_symmetry_Int_Tables_number 35
_symmetry_space_group_name_Hall 'C 2 -2'
loop_
_atom_site_label
_atom_site_type_symbol
_atom_site_fract_x
_atom_site_fract_y
_atom_site_fract_z
Ru1 Ru 0.000 0.000 0.000
Ru2 Ru 0.000 0.500 0.247
W1 W 0.000 0.000 0.498
Cl1 Cl 0.000 0.500 0.741
```

=====

c | Entry from Alexandria via LeMat-Bulk: crystalline Ru2WCl at its relaxed geometry (PBE).

Calculated values
For the calculated volume, the calculation gives 180.87 Å³ per cell. The crystal system is trigonal.

```
data_Ru2WCl
_chemical_formula_sum 'Ru6 W3 Cl3'
_cell_length_a 2.8418
_cell_length_b 2.8418
_cell_length_c 25.8616
_cell_angle_alpha 90.00
_cell_angle_beta 90.00
_cell_angle_gamma 120.00
_symmetry_space_group_name_H-M 'R 3 m'
_symmetry_Int_Tables_number 160
_symmetry_space_group_name_Hall 'R 3 -2"'
loop_
_atom_site_label
_atom_site_type_symbol
_atom_site_fract_x
_atom_site_fract_y
_atom_site_fract_z
Ru1 Ru 0.0000 0.0000 0.0000
Ru2 Ru 0.0000 0.0000 0.2537
W1 W 0.0000 0.0000 0.5010
Cl1 Cl 0.0000 0.0000 0.7586
```

=====

d | Entry from Alexandria via LeMat-Bulk: crystalline Ru2WCl at its relaxed geometry (PBE).

Calculated values
For the calculated volume, the calculation gives 238.32 Å³ per cell. The crystal system is cubic.

```
data_Ru2WCl
_chemical_formula_sum 'Ru8 W4 Cl4'
_cell_length_a 6.200
_cell_length_b 6.200
_cell_length_c 6.200
_cell_angle_alpha 90.00
_cell_angle_beta 90.00
_cell_angle_gamma 90.00
_symmetry_space_group_name_H-M 'F -4 3 m'
_symmetry_Int_Tables_number 216
_symmetry_space_group_name_Hall 'F -4 2 3'
loop_
_atom_site_label
_atom_site_type_symbol
_atom_site_fract_x
_atom_site_fract_y
_atom_site_fract_z
Ru1 Ru 0.000 0.000 0.000
Ru2 Ru 0.250 0.250 0.250
W1 W 0.250 0.250 0.750
Cl1 Cl 0.000 0.000 0.500
```

=====

In terms of stability, c leads; the second structure lies 28.8 kJ/mol of atoms higher.

=====

a | Entry from Alexandria via LeMat-Bulk: crystalline Ru2WCl at its relaxed geometry (PBE).

Calculated values
For the calculated volume, the calculation gives 181.86 Å³ per cell. The crystal system is trigonal.

```
data_Ru2WCl
_chemical_formula_sum 'Ru6 W3 Cl3'
_cell_length_a 2.8790
_cell_length_b 2.8790
_cell_length_c 25.3345
_cell_angle_alpha 90.00
_cell_angle_beta 90.00
_cell_angle_gamma 120.00
_symmetry_space_group_name_H-M 'R -3 m'
_symmetry_Int_Tables_number 166
_symmetry_space_group_name_Hall '-R 3 2"'
loop_
_atom_site_label
_atom_site_type_symbol
_atom_site_fract_x
_atom_site_fract_y
_atom_site_fract_z
Ru1 Ru 0.0000 0.0000 0.2504
W1 W 0.0000 0.0000 0.5000
Cl1 Cl 0.0000 0.0000 0.0000
```

=====

b | Entry from Alexandria via LeMat-Bulk: crystalline Ru2WCl at its relaxed geometry (PBE).

Calculated values
For the calculated volume, the calculation gives 116.62 Å³ per cell. The crystal system is orthorhombic.

```
data_Ru2WCl
_chemical_formula_sum 'Ru4 W2 Cl2'
_cell_length_a 2.902
_cell_length_b 4.451
_cell_length_c 9.029
_cell_angle_alpha 90.00
_cell_angle_beta 90.00
_cell_angle_gamma 90.00
_symmetry_space_group_name_H-M 'I m m 2'
_symmetry_Int_Tables_number 44
_symmetry_space_group_name_Hall 'I 2 -2'
loop_
_atom_site_label
_atom_site_type_symbol
_atom_site_fract_x
_atom_site_fract_y
_atom_site_fract_z
Ru1 Ru 0.000 0.000 0.000
Ru2 Ru 0.000 0.500 0.229
W1 W 0.000 0.500 0.771
Cl1 Cl 0.000 0.000 0.493
```

=====

In terms of stability, a leads; the second structure lies 34.3 kJ/mol of atoms higher.

=====

a | Entry from Alexandria via LeMat-Bulk: crystalline Ru2WCl at its relaxed geometry (PBE).

Calculated values
For the calculated volume, the calculation gives 60.94 Å³ per cell. The crystal system is tetragonal.

```
data_Ru2WCl
_chemical_formula_sum 'Ru2 W1 Cl1'
_cell_length_a 4.606
_cell_length_b 4.606
_cell_length_c 2.873
_cell_angle_alpha 90.00
_cell_angle_beta 90.00
_cell_angle_gamma 90.00
_symmetry_space_group_name_H-M 'P 4/m m m'
_symmetry_Int_Tables_number 123
_symmetry_space_group_name_Hall '-P 4 2'
loop_
_atom_site_label
_atom_site_type_symbol
_atom_site_fract_x
_atom_site_fract_y
_atom_site_fract_z
Ru1 Ru 0.000 0.500 0.000
W1 W 0.000 0.000 0.500
Cl1 Cl 0.500 0.500 0.500
```

=====

b | Entry from Alexandria via LeMat-Bulk: crystalline Ru2WCl at its relaxed geometry (PBE).

Calculated values
For the calculated volume, the calculation gives 120.37 Å³ per cell. The crystal system is monoclinic.

```
data_Ru2WCl
_chemical_formula_sum 'Ru4 W2 Cl2'
_cell_length_a 9.477
_cell_length_b 2.841
_cell_length_c 4.471
_cell_angle_alpha 90.00
_cell_angle_beta 90.24
_cell_angle_gamma 90.00
_symmetry_space_group_name_H-M 'C 1 2/m 1'
_symmetry_Int_Tables_number 12
_symmetry_space_group_name_Hall '-C 2y'
loop_
_atom_site_label
_atom_site_type_symbol
_atom_site_fract_x
_atom_site_fract_y
_atom_site_fract_z
Ru1 Ru 0.222 0.000 0.235
W1 W 0.000 0.500 0.000
Cl1 Cl 0.000 0.000 0.500
```

=====

In terms of stability, b leads; the second structure lies 24.9 kJ/mol of atoms higher.

=====

a | Entry from Alexandria via LeMat-Bulk: crystalline Ru2WCl at its relaxed geometry (PBE).

Calculated values
For the calculated volume, the calculation gives 245.49 Å³ per cell. The crystal system is cubic.

```
data_Ru2WCl
_chemical_formula_sum 'Ru8 W4 Cl4'
_cell_length_a 6.261
_cell_length_b 6.261
_cell_length_c 6.261
_cell_angle_alpha 90.00
_cell_angle_beta 90.00
_cell_angle_gamma 90.00
_symmetry_space_group_name_H-M 'F m -3 m'
_symmetry_Int_Tables_number 225
_symmetry_space_group_name_Hall '-F 4 2 3'
loop_
_atom_site_label
_atom_site_type_symbol
_atom_site_fract_x
_atom_site_fract_y
_atom_site_fract_z
Ru1 Ru 0.250 0.250 0.250
W1 W 0.000 0.000 0.000
Cl1 Cl 0.000 0.000 0.500
```

=====

b | Entry from Alexandria via LeMat-Bulk: crystalline Ru2WCl at its relaxed geometry (PBE).

Calculated values
For the calculated volume, the calculation gives 121.35 Å³ per cell. The crystal system is orthorhombic.

```
data_Ru2WCl
_chemical_formula_sum 'Ru4 W2 Cl2'
_cell_length_a 6.041
_cell_length_b 7.033
_cell_length_c 2.856
_cell_angle_alpha 90.00
_cell_angle_beta 90.00
_cell_angle_gamma 90.00
_symmetry_space_group_name_H-M 'C m m m'
_symmetry_Int_Tables_number 65
_symmetry_space_group_name_Hall '-C 2 2'
loop_
_atom_site_label
_atom_site_type_symbol
_atom_site_fract_x
_atom_site_fract_y
_atom_site_fract_z
Ru1 Ru 0.250 0.250 0.000
W1 W 0.000 0.000 0.500
Cl1 Cl 0.000 0.500 0.500
```

=====

c | Entry from Alexandria via LeMat-Bulk: crystalline Ru2WCl at its relaxed geometry (PBE).

Calculated values
For the calculated volume, the calculation gives 60.63 Å³ per cell. The crystal system is monoclinic.

```
data_Ru2WCl
_chemical_formula_sum 'Ru2 W1 Cl1'
_cell_length_a 2.856
_cell_length_b 4.007
_cell_length_c 5.485
_cell_angle_alpha 90.00
_cell_angle_beta 105.01
_cell_angle_gamma 90.00
_symmetry_space_group_name_H-M 'P 1 m 1'
_symmetry_Int_Tables_number 6
_symmetry_space_group_name_Hall 'P -2y'
loop_
_atom_site_label
_atom_site_type_symbol
_atom_site_fract_x
_atom_site_fract_y
_atom_site_fract_z
Ru1 Ru 0.000 0.000 0.000
Ru2 Ru 0.405 0.500 0.811
W1 W 0.639 0.500 0.284
Cl1 Cl 0.767 0.000 0.550
```

=====

In terms of stability, c leads; the second structure lies 26.6 kJ/mol of atoms higher.